{
  "formula": "Li8Ca3Cu",
  "functional": "PBE",
  "state": "relaxed",
  "cell": [[2.9306, 1.6920, 9.6159], [-2.9306, 1.6920, 9.6159], [0.0000, -3.3840, 9.6159]],
  "species": ["Li", "Li", "Li", "Li", "Li", "Li", "Li", "Li", "Ca", "Ca", "Ca", "Cu"],
  "fractional_positions": [[0.0000, 0.0000, 0.0000], [0.2420, 0.2420, 0.7487], [0.2420, 0.7487, 0.2420], [0.2601, 0.7500, 0.7500], [0.4964, 0.4964, 0.4964], [0.7487, 0.2420, 0.2420], [0.7500, 0.2601, 0.7500], [0.7500, 0.7500, 0.2601], [0.1862, 0.1862, 0.1862], [0.3179, 0.3179, 0.3179], [0.7946, 0.7946, 0.7946], [0.6825, 0.6825, 0.6825]],
  "density_g_cm3": 1.39,
  "crystal_system": "trigonal",
  "volume_a3_per_atom": 23.8,
  "space_group": "No. 160",
  "energy_ev_per_atom": -2.05
}